1.
An optimized crystal structure of Y2Cd16In, computed with PBE.

As for the calculated formation energy: -107 meV per atom.

The space group is R3m (No. 160, hexagonal axes) and the conventional cell measures 10.1361, 10.1361 and 14.8706 Å, with angles of 90.00, 90.00 and 120.00 degrees. The asymmetric unit holds Y at (0.0000, 0.0000, 0.0000), Y at (0.0000, 0.0000, 0.3449), Cd at (0.0000, 0.0000, 0.7598), Cd at (0.0241, 0.3542, 0.3362), Cd at (0.1779, 0.3558, 0.1510), Cd at (0.1864, 0.3728, 0.5099), Cd at (0.1993, 0.3985, 0.8462) and In at (0.0000, 0.0000, 0.5671).

=====

2.
An optimized crystal structure of AcTh2Ag2Sn2, computed with PBE.

As for the calculated formation energy: -237 meV per atom.

The space group is R-3m (No. 166, hexagonal axes) and the conventional cell measures 4.9076, 4.9076 and 29.0192 Å, with angles of 90.00, 90.00 and 120.00 degrees. The asymmetric unit holds Ac at (0.0000, 0.0000, 0.0000), Th at (0.0000, 0.0000, 0.1331), Ag at (0.0000, 0.0000, 0.4156) and Sn at (0.0000, 0.0000, 0.2602).

=====

3.
An optimized crystal structure of NaSmTh2Se4, computed with PBE.

The calculation puts the formation energy without anion corrections at -1.58 eV per atom.

The space group is P2/m (No. 10) and the conventional cell measures 7.159, 4.127 and 7.434 Å, with angles of 90.00, 108.45 and 90.00 degrees. The asymmetric unit holds Na at (0.000, 0.000, 0.000), Sm at (0.500, 0.500, 0.000), Th at (0.000, 0.500, 0.500), Th at (0.500, 0.000, 0.500), Se at (0.246, 0.500, 0.244) and Se at (0.248, 0.000, 0.758).

=====

4.
An optimized crystal structure of PrErSi2Pt5, computed with PBE.

The calculation puts the formation energy without anion corrections at -1.02 eV per atom.

The space group is P4/mmm (No. 123) and the conventional cell measures 4.250, 4.250 and 8.978 Å, with angles of 90.00, 90.00 and 90.00 degrees. The asymmetric unit holds Pr at (0.000, 0.000, 0.000), Er at (0.000, 0.000, 0.500), Si at (0.500, 0.500, 0.369), Pt at (0.000, 0.500, 0.244) and Pt at (0.500, 0.500, 0.000).

=====

5.
An optimized crystal structure of La7Cd2Sn2, computed with PBE.

As for the calculated formation energy: -166 meV per atom.

The space group is Cmmm (No. 65) and the conventional cell measures 8.458, 11.799 and 7.744 Å, with angles of 90.00, 90.00 and 90.00 degrees. The asymmetric unit holds La at (0.000, 0.000, 0.000), La at (0.000, 0.500, 0.258), La at (0.250, 0.250, 0.303), Cd at (0.000, 0.281, 0.000) and Sn at (0.171, 0.000, 0.500).

=====

6.
An optimized crystal structure of CuPbO2, computed with PBE.

The calculation puts the formation energy without anion corrections at -0.06 eV per atom.

The space group is P4/mmm (No. 123) and the conventional cell measures 3.005, 3.005 and 5.723 Å, with angles of 90.00, 90.00 and 90.00 degrees. The asymmetric unit holds Cu at (0.000, 0.000, 0.000), Pb at (0.000, 0.000, 0.500) and O at (0.500, 0.500, 0.241).

=====

7.
An optimized crystal structure of Ac2MgPb2, computed with PBE.

As for the calculated formation energy: -474 meV per atom. For the distance to the lowest polymorph of the same formula, the calculation gives 0.0 kJ/mol of formula units.

The space group is P4/mnc (No. 128) and the conventional cell measures 8.274, 8.274 and 10.059 Å, with angles of 90.00, 90.00 and 90.00 degrees. The asymmetric unit holds Ac at (0.175, 0.325, 0.000), Mg at (0.000, 0.000, 0.250) and Pb at (0.132, 0.632, 0.250).

=====

8.
An optimized crystal structure of TaSbSe2N, computed with PBE.

The calculation puts the formation energy without anion corrections at -0.03 eV per atom. For the distance to the lowest polymorph of the same formula, the calculation gives 0.0 kJ/mol of formula units.

The space group is P4/mmm (No. 123) and the conventional cell measures 5.223, 5.223 and 3.899 Å, with angles of 90.00, 90.00 and 90.00 degrees. The asymmetric unit holds Ta at (0.000, 0.000, 0.000), Sb at (0.500, 0.500, 0.500), Se at (0.000, 0.500, 0.000) and N at (0.000, 0.000, 0.500).

=====

9.
An optimized crystal structure of Li4ErPd7, computed with PBE.

As for the calculated formation energy: -273 meV per atom.

The space group is C2/m (No. 12) and the conventional cell measures 10.261, 4.958 and 9.127 Å, with angles of 90.00, 120.13 and 90.00 degrees. The asymmetric unit holds Li at (0.080, 0.000, 0.264), Li at (0.226, 0.000, 0.823), Er at (0.000, 0.500, 0.500), Pd at (0.000, 0.000, 0.500), Pd at (0.046, 0.500, 0.874), Pd at (0.155, 0.000, 0.047) and Pd at (0.216, 0.500, 0.418).

=====

10.
An optimized crystal structure of Tl5Cl5O2, computed with PBE.

The calculation puts the formation energy without anion corrections at -0.71 eV per atom.

The space group is C2/m (No. 12) and the conventional cell measures 13.949, 4.127 and 11.354 Å, with angles of 90.00, 103.97 and 90.00 degrees. The asymmetric unit holds Tl at (0.000, 0.000, 0.000), Tl at (0.091, 0.000, 0.361), Tl at (0.149, 0.500, 0.799), Cl at (0.000, 0.500, 0.500), Cl at (0.145, 0.500, 0.060), Cl at (0.230, 0.500, 0.369) and O at (0.025, 0.000, 0.823).

=====

11.
An optimized crystal structure of Na3La2ThTe6, computed with PBE.

The calculation puts the formation energy without anion corrections at -1.30 eV per atom.

The space group is C2/m (No. 12) and the conventional cell measures 7.906, 13.691 and 8.033 Å, with angles of 90.00, 109.18 and 90.00 degrees. The asymmetric unit holds Na at (0.000, 0.000, 0.000), Na at (0.000, 0.331, 0.000), La at (0.000, 0.166, 0.500), Th at (0.000, 0.500, 0.500), Te at (0.244, 0.337, 0.744) and Te at (0.244, 0.500, 0.256).

=====

Total magnetization, respectively: 0.0, 0.0, 0.0, 0.0, 0.0, 0.0, 0.0, 0.0, 0.0, 0.0, 0.0 μB/f.u..
Volume, respectively: 1323, 605, 208, 162, 773, 52, 689, 106, 402, 634, 821 Å³/cell.